No. 1
First-principles (SCAN) data for ScGeBr3 at its PBEsol-relaxed geometry, as listed in Alexandria via LeMat-Bulk.

Properties
- DFT total energy: -95.1 eV/f.u.
- Total magnetic moment: 2.0 μB/f.u.
- Crystal system: cubic
- ΔE_f (raw): -3.421 eV per formula unit

Lattice parameters (Å, degrees): 5.2228 5.2228 5.2228 90.00 90.00 90.00
Closest atoms and distances in Å follow each position.
Space group Pm-3m (No. 221)
Symmetry-distinct sites (fractional):
Sc (0.0000, 0.0000, 0.0000) x1  6 Br 2.61
Ge (0.5000, 0.5000, 0.5000) x1  12 Br 3.69
Br (0.0000, 0.0000, 0.5000) x3  2 Sc 2.61

---

No. 2
First-principles (SCAN) data for CrSbRh at its PBEsol-relaxed geometry, as listed in Alexandria via LeMat-Bulk.

Properties
- DFT total energy: -89.9 eV/f.u.
- Total magnetic moment: 3.7 μB/f.u.
- Crystal system: hexagonal
- ΔE_f (raw): -0.493 eV per formula unit

Lattice parameters (Å, degrees): 4.3689 4.3689 3.0045 90.00 90.00 120.00
Closest atoms and distances in Å follow each position.
Space group P-6m2 (No. 187)
Symmetry-distinct sites (fractional):
Cr (0.0000, 0.0000, 0.0000) x1  6 Sb 2.94, 6 Rh 2.94, 2 Cr 3.00
Sb (0.3333, 0.6667, 0.5000) x1  3 Rh 2.52
Rh (0.6667, 0.3333, 0.5000) x1  3 Sb 2.52

---

No. 3
First-principles (SCAN) data for SrCa2P at its PBEsol-relaxed geometry, as listed in Alexandria via LeMat-Bulk.

Properties
- DFT total energy: -54.7 eV/f.u.
- Total magnetic moment: 0.1 μB/f.u.
- Crystal system: monoclinic
- ΔE_f: -0.66 eV/atom

Lattice parameters (Å, degrees): 11.3551 3.8578 7.0212 90.00 115.49 90.00
Closest atoms and distances in Å follow each position.
Space group Cm (No. 8)
Symmetry-distinct sites (fractional):
Sr (0.0000, 0.0000, 0.0000) x2  3 P 3.15-3.18, 1 Ca 3.50
Ca (0.1708, 0.0000, 0.6867) x2  2 P 2.82
Ca (0.3429, 0.0000, 0.3285) x2  2 P 2.83
P (0.2245, 0.5000, 0.0061) x2  4 Ca 2.82-2.83, 1 Sr 3.15

---

total magnetic moment of number 2 (CrSbRh)?
3.7 μB/f.u.